# NiIr2Ru SCAN single point on PBEsol structure
# calculated formation energy = 63.2 meV per atom
# energy relative to the lowest polymorph listed for this composition = 89 meV per atom
# magnetization = 0.00 μB per formula unit
# Fermi-level density of states = 4.89 states/eV/f.u.
data_NiIr2Ru
_space_group_name_H-M_alt 'C m m m'
_space_group_IT_number 65
_space_group_name_Hall '-C 2 2'
_cell_length_a 5.297
_cell_length_b 7.419
_cell_length_c 2.670
_cell_angle_alpha 90.00
_cell_angle_beta 90.00
_cell_angle_gamma 90.00
loop_
_atom_site_label
_atom_site_fract_x
_atom_site_fract_y
_atom_site_fract_z
Ni1 0.000 0.000 0.000
Ir1 0.250 0.250 0.500
Ru1 0.000 0.500 0.000